1.
The following is a PBE calculation of a relaxed structure of Ca2BeZn3Ge4, from the Alexandria database.

The calculation puts the total magnetization at 0.000 μB/atom. Its total energy is -3.284 eV/atom. The value obtained for the formation energy is -0.282 eV/atom. As for the density: 5.0 g cm⁻³. The calculation puts the calculated volume at 189.6 Å³/cell. Its crystal system is tetragonal. Its density of states at the Fermi level is 0.15 states/eV/atom.

The space group is P-4m2 (No. 115) and the conventional cell measures 4.2339, 4.2339 and 10.5745 Å, with angles of 90.00, 90.00 and 90.00 degrees. The distinct sites, in fractional coordinates, are Ca at (0.0000, 0.5000, 0.2437), Be at (0.5000, 0.5000, 0.0000), Zn at (0.0000, 0.0000, 0.0000), Zn at (0.0000, 0.5000, 0.6402), Ge at (0.0000, 0.0000, 0.5000), Ge at (0.0000, 0.5000, 0.8718) and Ge at (0.5000, 0.5000, 0.5000).



2.
The following is a PBE calculation of a relaxed structure of CaBeH3, from the Alexandria database.

The calculation puts the total magnetization at 0.000 μB/atom. Its total energy is -3.245 eV/atom. As for the density: 2.0 g cm⁻³. The calculation puts the calculated volume at 43.6 Å³/cell. Its crystal system is cubic. Its density of states at the Fermi level is 0.38 states/eV/atom.

The space group is Pm-3m (No. 221) and the conventional cell measures 3.5186, 3.5186 and 3.5186 Å, with angles of 90.00, 90.00 and 90.00 degrees. The distinct sites, in fractional coordinates, are Ca at (0.0000, 0.0000, 0.0000), Be at (0.5000, 0.5000, 0.5000) and H at (0.0000, 0.5000, 0.5000).